# GGA-PBE Tm4IrPd, optimized geometry
# ΔE to the lowest computed polymorph ... 1.06 kcal/mol of atoms
# Theoretical density ... 10.4 Mg/m³
# DFT formation energy ... -0.654 eV/atom
# Energy ... -5.98 eV per atom
data_Tm4IrPd
_chemical_formula_sum 'Tm8 Ir2 Pd2'
_symmetry_space_group_name_H-M 'C 1 2/m 1'
_symmetry_Int_Tables_number 12
_cell_length_a 6.7702
_cell_length_b 6.7701
_cell_length_c 6.7598
_cell_angle_alpha 90.00
_cell_angle_beta 90.06
_cell_angle_gamma 90.00
loop_
_symmetry_equiv_pos_as_xyz
'x,y,z'
'-x,-y,-z'
'-x,y,-z'
'x,-y,z'
'x+1/2,y+1/2,z'
'-x+1/2,-y+1/2,-z'
'-x+1/2,y+1/2,-z'
'x+1/2,-y+1/2,z'
loop_
_atom_site_label
_atom_site_fract_x
_atom_site_fract_y
_atom_site_fract_z
_atom_site_occupancy
Tm1 0.2498 0.2501 0.2428 1
Ir1 0.0000 0.0000 0.0000 1
Pd1 0.0000 0.5000 0.5000 1